No. 1
Material: SrCuTe2O8
Method: DFT, PBE-GGA
State: relaxed

The calculation puts the formation energy (no corrections) at -1.111 eV per atom. The mass density comes out at 5.34 g/cm3. Its space group is P2/m, No. 10.

Cell lengths 5.140, 6.339, 5.147 Å; angles 90.00, 98.00, 90.00 degrees
Fractional coordinates of all 12 atoms:
Sr 0.000 0.000 0.000
Cu 0.000 0.500 0.000
Te 0.500 0.262 0.500
Te 0.500 0.738 0.500
O 0.221 0.279 0.216
O 0.221 0.721 0.216
O 0.324 0.500 0.671
O 0.336 0.000 0.659
O 0.664 0.000 0.341
O 0.676 0.500 0.329
O 0.779 0.279 0.784
O 0.779 0.721 0.784


No. 2
Material: NaAgTe2
Method: DFT, PBE-GGA
State: relaxed

The calculation puts the formation energy (no corrections) at -0.346 eV per atom. The mass density comes out at 5.44 g/cm3. The polymorph energy (0 for the lowest one) comes out at 0 meV per atom. Its space group is P2/c, No. 13.

Cell lengths 6.758, 6.393, 11.770 Å; angles 90.00, 112.10, 90.00 degrees
Fractional coordinates of all 16 atoms:
Na 0.186 0.141 0.130
Na 0.186 0.859 0.630
Na 0.814 0.141 0.370
Na 0.814 0.859 0.870
Ag 0.480 0.436 0.868
Ag 0.480 0.564 0.368
Ag 0.520 0.436 0.632
Ag 0.520 0.564 0.132
Te 0.100 0.361 0.661
Te 0.100 0.639 0.161
Te 0.355 0.160 0.435
Te 0.355 0.840 0.935
Te 0.645 0.160 0.065
Te 0.645 0.840 0.565
Te 0.900 0.361 0.839
Te 0.900 0.639 0.339


No. 3
Material: LuTiRh2
Method: DFT, PBE-GGA
State: relaxed

The mass density comes out at 10.51 g/cm3. The polymorph energy (0 for the lowest one) comes out at 0 meV per atom. The value obtained for the formation energy is -3.40 eV/f.u. Its space group is P4/mmm, No. 123.

Cell lengths 3.170, 3.170, 6.736 Å; angles 90.00, 90.00, 90.00 degrees
Fractional coordinates of all 4 atoms:
Lu 0.000 0.000 0.000
Ti 0.000 0.000 0.500
Rh 0.500 0.500 0.278
Rh 0.500 0.500 0.722


No. 4
Material: RbInHg2
Method: DFT, PBE-GGA
State: relaxed

The mass density comes out at 7.51 g/cm3. The value obtained for the formation energy is -0.71 eV/f.u. Its space group is Pnma, No. 62.

Cell lengths 8.812, 5.484, 11.005 Å; angles 90.00, 90.00, 90.00 degrees
Fractional coordinates of all 16 atoms:
Rb 0.168 0.250 0.197
Rb 0.332 0.750 0.697
Rb 0.668 0.250 0.303
Rb 0.832 0.750 0.803
In 0.003 0.750 0.433
In 0.497 0.250 0.933
In 0.503 0.750 0.067
In 0.997 0.250 0.567
Hg 0.135 0.250 0.844
Hg 0.169 0.750 0.991
Hg 0.331 0.250 0.491
Hg 0.365 0.750 0.344
Hg 0.635 0.250 0.656
Hg 0.669 0.750 0.509
Hg 0.831 0.250 0.009
Hg 0.865 0.750 0.156


No. 5
Material: LaSbCl2
Method: DFT, PBE-GGA
State: relaxed

The calculation puts the formation energy (no corrections) at -1.266 eV per atom. The mass density comes out at 4.22 g/cm3. The polymorph energy (0 for the lowest one) comes out at 168 meV per atom. Its space group is P4/mmm, No. 123.

Cell lengths 3.441, 3.441, 11.011 Å; angles 90.00, 90.00, 90.00 degrees
Fractional coordinates of all 4 atoms:
La 0.000 0.000 0.000
Sb 0.000 0.000 0.500
Cl 0.500 0.500 0.151
Cl 0.500 0.500 0.849


No. 6
Material: NdPaIr
Method: DFT, PBE-GGA
State: relaxed

The mass density comes out at 12.33 g/cm3. The polymorph energy (0 for the lowest one) comes out at 53 meV per atom. The value obtained for the formation energy is -1.55 eV/f.u. Its space group is P2_1/c, No. 14.

Cell lengths 7.264, 6.140, 7.197 Å; angles 90.00, 107.69, 90.00 degrees
Fractional coordinates of all 12 atoms:
Nd 0.153 0.133 0.368
Nd 0.153 0.367 0.868
Nd 0.847 0.633 0.132
Nd 0.847 0.867 0.632
Pa 0.420 0.639 0.313
Pa 0.420 0.861 0.813
Pa 0.580 0.139 0.187
Pa 0.580 0.361 0.687
Ir 0.177 0.628 0.521
Ir 0.177 0.872 0.021
Ir 0.823 0.128 0.979
Ir 0.823 0.372 0.479


Number 1: total energy -5.422 eV per atom. Number 2: total energy -2.959 eV per atom. Number 3: total energy -7.631 eV per atom. Number 4: total energy -1.255 eV per atom. Number 5: total energy -4.452 eV per atom. Number 6: total energy -8.225 eV per atom.